1.
This record from Alexandria describes a PBEsol-optimized structure of Al2CdCu. The functional is meta-GGA SCAN.

Output
V (Å³ per atom): 16.142
Mass density (Mg/m³): 5.913
Formation enthalpy at 0 K (eV/atom): -0.04
SG: P4/mmm, No. 123

Lattice parameters (Å, degrees): 2.858 2.858 7.904 90.00 90.00 90.00
Fractional coordinates of all 4 atoms:
Al: 0.000 0.000 0.206
Al: 0.000 0.000 0.794
Cd: 0.500 0.500 0.500
Cu: 0.500 0.500 0.000



2.
This record from Alexandria describes a PBEsol-optimized structure of CsHgCl3. The functional is meta-GGA SCAN.

Output
ΔE to the lowest computed polymorph (meV/atom): 0.0
V (Å³ per atom): 30.994
Mass density (Mg/m³): 4.713
ΔE_f (raw) (eV/atom): -1.33
SG: P3_2, No. 145

Lattice parameters (Å, degrees): 13.159 13.159 9.300 90.00 90.00 120.00
Fractional coordinates of all 45 atoms:
Cs: 0.100 0.554 0.000
Cs: 0.111 0.228 0.326
Cs: 0.117 0.889 0.660
Cs: 0.446 0.546 0.667
Cs: 0.447 0.232 0.975
Cs: 0.454 0.900 0.333
Cs: 0.768 0.216 0.641
Cs: 0.772 0.883 0.993
Cs: 0.784 0.553 0.308
Hg: 0.110 0.224 0.825
Hg: 0.113 0.559 0.488
Hg: 0.114 0.890 0.159
Hg: 0.441 0.554 0.155
Hg: 0.442 0.221 0.491
Hg: 0.446 0.887 0.821
Hg: 0.776 0.886 0.492
Hg: 0.779 0.221 0.158
Hg: 0.779 0.558 0.825
Cl: 0.080 0.348 0.662
Cl: 0.088 0.069 0.982
Cl: 0.144 0.747 0.339
Cl: 0.253 0.397 0.005
Cl: 0.268 0.920 0.995
Cl: 0.278 0.721 0.716
Cl: 0.279 0.557 0.383
Cl: 0.283 0.226 0.665
Cl: 0.306 0.099 0.309
Cl: 0.443 0.722 0.049
Cl: 0.447 0.048 0.640
Cl: 0.451 0.418 0.318
Cl: 0.582 0.032 0.985
Cl: 0.602 0.553 0.973
Cl: 0.603 0.856 0.672
Cl: 0.609 0.377 0.612
Cl: 0.623 0.232 0.279
Cl: 0.652 0.732 0.329
Cl: 0.768 0.391 0.946
Cl: 0.774 0.056 0.331
Cl: 0.792 0.694 0.643
Cl: 0.901 0.208 0.976
Cl: 0.931 0.019 0.649
Cl: 0.944 0.717 0.998
Cl: 0.952 0.398 0.306
Cl: 0.968 0.549 0.652
Cl: 0.981 0.912 0.316



3.
This record from Alexandria describes a PBEsol-optimized structure of Ti2ZnPd2. The functional is meta-GGA SCAN.

Output
V (Å³ per atom): 15.573
Mass density (Mg/m³): 7.976
Formation enthalpy at 0 K (eV/atom): -0.51
SG: P4/mbm, No. 127

Lattice parameters (Å, degrees): 7.190 7.190 3.013 90.00 90.00 90.00
Fractional coordinates of all 10 atoms:
Ti: 0.170 0.330 0.000
Ti: 0.330 0.830 0.000
Ti: 0.670 0.170 0.000
Ti: 0.830 0.670 0.000
Zn: 0.000 0.000 0.500
Zn: 0.500 0.500 0.500
Pd: 0.131 0.631 0.500
Pd: 0.369 0.131 0.500
Pd: 0.631 0.869 0.500
Pd: 0.869 0.369 0.500



4.
This record from Alexandria describes a PBEsol-optimized structure of ZrSc2Co. The functional is meta-GGA SCAN.

Output
ΔE to the lowest computed polymorph (meV/atom): 16.5
V (Å³ per atom): 18.506
Mass density (Mg/m³): 5.385
Formation enthalpy at 0 K (eV/atom): -0.15
SG: Immm, No. 71

Lattice parameters (Å, degrees): 5.664 5.664 5.664 146.87 131.21 60.25
Fractional coordinates of all 4 atoms:
Zr: 0.000 0.000 0.000
Sc: 0.295 0.795 0.500
Sc: 0.705 0.205 0.500
Co: 0.500 0.500 0.000



5.
This record from Alexandria describes a PBEsol-optimized structure of LiLa2Sn2. The functional is meta-GGA SCAN.

Output
V (Å³ per atom): 29.077
Mass density (Mg/m³): 5.964
Formation enthalpy at 0 K (eV/atom): -0.79
SG: P4/mbm, No. 127

Lattice parameters (Å, degrees): 7.838 7.838 4.733 90.00 90.00 90.00
Fractional coordinates of all 10 atoms:
Li: 0.000 0.000 0.000
Li: 0.500 0.500 0.000
La: 0.173 0.327 0.500
La: 0.327 0.827 0.500
La: 0.673 0.173 0.500
La: 0.827 0.673 0.500
Sn: 0.131 0.631 0.000
Sn: 0.369 0.131 0.000
Sn: 0.631 0.869 0.000
Sn: 0.869 0.369 0.000



6.
This record from Alexandria describes a PBEsol-optimized structure of LaRuBr2. The functional is meta-GGA SCAN.

Output
ΔE to the lowest computed polymorph (meV/atom): 0.0
V (Å³ per atom): 23.868
Mass density (Mg/m³): 6.953
ΔE_f (raw) (eV/atom): -0.51
SG: P4mm, No. 99

Lattice parameters (Å, degrees): 3.491 3.491 7.832 90.00 90.00 90.00
Fractional coordinates of all 4 atoms:
La: 0.000 0.000 0.000
Ru: 0.500 0.500 0.276
Br: 0.000 0.000 0.375
Br: 0.500 0.500 0.759



> Which formula does entry 1 have?

Al2CdCu



> mass density of number 5 (LiLa2Sn2)?

5.964 Mg/m³



> Which value of mass density does entry 1 give?

5.913 Mg/m³



> The highest V belongs to which entry?

CsHgCl3